# 1
Compound: PaVIr2
Source: the Alexandria database
Functional: PBE
Structure: optimized geometry

Lattice parameters (Å, degrees): 4.6919 4.6919 4.7038 60.08 60.08 60.00
With the nearest neighbours (Å) after each atom.
Fractional positions:
V  0.0000  0.0000  0.0000  8 Ir 2.65-2.96
Pa  0.5000  0.5000  0.5000  8 Ir 2.80-3.12
Ir  0.2293  0.2293  0.3120  4 V 2.65-2.96, 3 Pa 2.80
Ir  0.7707  0.7707  0.6880  4 V 2.65-2.96, 3 Pa 2.80

For the formation energy, the calculation gives -0.32 eV/atom. The value obtained for the density of states at the Fermi level is 5.23 states/eV/f.u. The excess energy over the best structure of this formula in the dataset comes out at 234 meV/atom. For the size of the total moment, the calculation gives 2.7 μB/cell. As for the symmetry: R-3m, No. 166.



# 2
Compound: HoPuTlZn
Source: the Alexandria database
Functional: PBE
Structure: optimized geometry

Lattice parameters (Å, degrees): 5.2412 5.2412 5.2412 60.00 60.00 60.00
With the nearest neighbours (Å) after each atom.
Fractional positions:
Zn  0.0000  0.0000  0.0000  4 Pu 3.21, 4 Ho 3.21
Tl  0.5000  0.5000  0.5000  4 Ho 3.21, 4 Pu 3.21
Ho  0.7500  0.7500  0.7500  4 Tl 3.21, 4 Zn 3.21
Pu  0.2500  0.2500  0.2500  4 Tl 3.21, 4 Zn 3.21

For the formation energy, the calculation gives -0.13 eV/atom. The value obtained for the density of states at the Fermi level is 8.25 states/eV/f.u. For the size of the total moment, the calculation gives 6.2 μB/cell. As for the symmetry: F-43m, No. 216.



# 3
Compound: LiFe2Pb
Source: the Alexandria database
Functional: PBE
Structure: optimized geometry

Lattice parameters (Å, degrees): 9.2769 9.2769 9.2769 18.67 18.67 18.67
With the nearest neighbours (Å) after each atom.
Fractional positions:
Fe  0.9967  0.9967  0.9967  3 Li 2.79, 3 Pb 2.94, 6 Fe 3.01
Fe  0.5033  0.5033  0.5033  3 Li 2.79, 3 Pb 2.94, 6 Fe 3.01
Li  0.2500  0.2500  0.2500  6 Fe 2.79, 6 Li 3.01
Pb  0.7500  0.7500  0.7500  6 Fe 2.94, 6 Pb 3.01

For the formation energy, the calculation gives 0.72 eV/atom. The value obtained for the density of states at the Fermi level is 5.48 states/eV/f.u. For the size of the total moment, the calculation gives 5.6 μB/cell. As for the symmetry: R-3m, No. 166.



# 4
Compound: Sr2MgRhI
Source: the Alexandria database
Functional: PBE
Structure: optimized geometry

Lattice parameters (Å, degrees): 5.8850 5.8850 5.0144 90.00 90.00 90.00
With the nearest neighbours (Å) after each atom.
Fractional positions:
I  0.5000  0.5000  0.5000  8 Sr 3.87, 4 Mg 4.16
Sr  0.0000  0.5000  0.0000  2 Rh 2.94
Sr  0.5000  0.0000  0.0000  2 Rh 2.94
Mg  0.0000  0.0000  0.5000  2 Rh 2.51
Rh  0.0000  0.0000  0.0000  2 Mg 2.51

The value obtained for the density of states at the Fermi level is 2.30 states/eV/f.u. For the size of the total moment, the calculation gives 0.0 μB/cell. As for the symmetry: P4/mmm, No. 123. Its raw formation energy is -12.44 kcal/mol of atoms.



# 5
Compound: AlSn3B
Source: the Alexandria database
Functional: PBE
Structure: optimized geometry

Lattice parameters (Å, degrees): 4.8527 4.8527 4.8527 90.00 90.00 90.00
With the nearest neighbours (Å) after each atom.
Fractional positions:
B  0.0000  0.0000  0.0000  6 Sn 2.43
Sn  0.0000  0.5000  0.0000  2 B 2.43
Sn  0.0000  0.0000  0.5000  2 B 2.43
Sn  0.5000  0.0000  0.0000  2 B 2.43
Al  0.5000  0.5000  0.5000  12 Sn 3.43

For the formation energy, the calculation gives 0.64 eV/atom. The value obtained for the density of states at the Fermi level is 2.34 states/eV/f.u. The excess energy over the best structure of this formula in the dataset comes out at 0 meV/atom. For the size of the total moment, the calculation gives 0.0 μB/cell. As for the symmetry: Pm-3m, No. 221.



# 6
Compound: CaInPb2
Source: the Alexandria database
Functional: PBE
Structure: optimized geometry

Lattice parameters (Å, degrees): 6.1261 6.1261 6.1261 134.06 133.85 67.16
With the nearest neighbours (Å) after each atom.
Fractional positions:
Pb  0.0007  0.0007  0.0000  4 Ca 3.39, 4 In 3.49-3.51, 4 Pb 3.50
Pb  0.7499  0.2499  0.5000  4 In 3.39, 4 Pb 3.50, 4 Ca 3.50
Ca  0.4995  0.4995  0.0000  8 Pb 3.39-3.50, 4 In 3.49-3.51
In  0.2499  0.7499  0.5000  8 Pb 3.39-3.51, 4 Ca 3.49-3.51

For the formation energy, the calculation gives -0.28 eV/atom. The value obtained for the density of states at the Fermi level is 2.43 states/eV/f.u. For the size of the total moment, the calculation gives 0.0 μB/cell. As for the symmetry: Imm2, No. 44.



# 7
Compound: KGaSnO4
Source: the Alexandria database
Functional: PBE
Structure: optimized geometry

Lattice parameters (Å, degrees): 6.3539 6.3539 6.4451 90.00 90.00 111.68
With the nearest neighbours (Å) after each atom.
Fractional positions:
K  0.5000  0.5000  0.5000  6 O 2.73-2.78
K  0.5000  0.5000  0.0000  6 O 2.73-2.78
Ga  0.1371  0.8629  0.2500  4 O 1.87-1.92
Ga  0.8629  0.1371  0.7500  4 O 1.87-1.92
Sn  0.8687  0.1313  0.2500  4 O 1.99-2.01
Sn  0.1313  0.8687  0.7500  4 O 1.99-2.01
O  0.1821  0.2008  0.7500  1 Ga 1.92, 1 Sn 2.01
O  0.7992  0.8179  0.7500  1 Ga 1.92, 1 Sn 2.01
O  0.7647  0.2353  0.9920  1 Ga 1.87, 1 Sn 1.99
O  0.7647  0.2353  0.5080  1 Ga 1.87, 1 Sn 1.99
O  0.2353  0.7647  0.0080  1 Ga 1.87, 1 Sn 1.99
O  0.2353  0.7647  0.4920  1 Ga 1.87, 1 Sn 1.99
O  0.8179  0.7992  0.2500  1 Ga 1.92, 1 Sn 2.01
O  0.2008  0.1821  0.2500  1 Ga 1.92, 1 Sn 2.01

For the size of the total moment, the calculation gives 0.0 μB/cell. As for the symmetry: Cmcm, No. 63. Its raw formation energy is -36.84 kcal/mol of atoms.



# 8
Compound: AlW3C
Source: the Alexandria database
Functional: PBE
Structure: optimized geometry

Lattice parameters (Å, degrees): 4.1598 4.1598 4.1598 90.00 90.00 90.00
With the nearest neighbours (Å) after each atom.
Fractional positions:
C  0.0000  0.0000  0.0000  6 W 2.08
Al  0.5000  0.5000  0.5000  12 W 2.94
W  0.0000  0.5000  0.0000  2 C 2.08
W  0.0000  0.0000  0.5000  2 C 2.08
W  0.5000  0.0000  0.0000  2 C 2.08

For the formation energy, the calculation gives 0.20 eV/atom. The value obtained for the density of states at the Fermi level is 2.39 states/eV/f.u. The excess energy over the best structure of this formula in the dataset comes out at 0 meV/atom. For the size of the total moment, the calculation gives 0.0 μB/cell. As for the symmetry: Pm-3m, No. 221.